## FeCIO2 (PBE+U)

Data for FeCIO2 after structural relaxation.

The structure in POSCAR format:
```
FeCIO2
1.0
3.636 0.000 0.000
0.000 3.636 0.000
0.000 0.000 7.031
Fe C I O
1 1 1 2
Direct
0.000 0.000 0.000
0.500 0.500 0.500
0.000 0.000 0.500
0.000 0.500 0.000
0.500 0.000 0.000
```

Results
As for the total moment: 5.6 Bohr magnetons per cell. The total energy is -0.1666 Ha/atom.